No. 1
HgBi4Pb3 after structural relaxation, computed with PBE.

Output
Density of states at the Fermi level = 7.37 states/eV/cell
DFT total energy = -3.318 eV/atom
V = 518.5 Å³ per cell

Unit cell a=25.551 b=5.966 c=3.412 alpha=90.00 beta=94.41 gamma=90.00
Space group C2/m (No. 12)
One atom of each set of equivalent atoms:
Hg (0.000, 0.000, 0.000) x2
Bi (0.119, 0.000, 0.626) x4
Bi (0.244, 0.000, 0.681) x4
Pb (0.000, 0.500, 0.500) x2
Pb (0.120, 0.500, 0.110) x4

No. 2
Hg2Bi4Pb after structural relaxation, computed with PBE.

Output
Density of states at the Fermi level = 7.68 states/eV/cell
DFT total energy = -2.726 eV/atom
V = 426.0 Å³ per cell

Unit cell a=3.390 b=37.321 c=3.367 alpha=90.00 beta=90.00 gamma=90.00
Space group Cmmm (No. 65)
One atom of each set of equivalent atoms:
Hg (0.000, 0.216, 0.000) x4
Bi (0.000, 0.074, 0.000) x4
Bi (0.000, 0.350, 0.500) x4
Pb (0.000, 0.500, 0.500) x2

No. 3
Hg2Bi2Pb3 after structural relaxation, computed with PBE.

Output
Density of states at the Fermi level = 6.54 states/eV/cell
Relative energy among the computed polymorphs = 0.0112 eV per atom
DFT total energy = -2.731 eV/atom
V = 437.1 Å³ per cell

Unit cell a=8.278 b=9.508 c=5.923 alpha=90.00 beta=110.36 gamma=90.00
Space group P2_1/c (No. 14)
One atom of each set of equivalent atoms:
Hg (0.231, 0.214, 0.116) x4
Bi (0.426, 0.548, 0.214) x4
Pb (0.000, 0.000, 0.500) x2
Pb (0.185, 0.646, 0.590) x4

No. 4
Hg5Bi4Pb2 after structural relaxation, computed with PBE.

Output
Density of states at the Fermi level = 10.47 states/eV/cell
DFT total energy = -2.126 eV/atom
V = 671.7 Å³ per cell

Unit cell a=14.783 b=6.026 c=9.369 alpha=90.00 beta=126.41 gamma=90.00
Space group C2/m (No. 12)
One atom of each set of equivalent atoms:
Hg (0.000, 0.000, 0.000) x2
Hg (0.001, 0.246, 0.664) x8
Bi (0.229, 0.000, 0.409) x4
Bi (0.245, 0.500, 0.920) x4
Pb (0.136, 0.500, 0.147) x4

No. 5
Hg2BiPb8 after structural relaxation, computed with PBE.

Output
Density of states at the Fermi level = 10.50 states/eV/cell
Relative energy among the computed polymorphs = 0.0000 eV per atom
DFT total energy = -3.092 eV/atom
V = 671.5 Å³ per cell

Unit cell a=18.379 b=4.755 c=8.049 alpha=90.00 beta=107.29 gamma=90.00
Space group C2/m (No. 12)
One atom of each set of equivalent atoms:
Hg (0.228, 0.000, 0.135) x4
Bi (0.000, 0.500, 0.500) x2
Pb (0.043, 0.000, 0.227) x4
Pb (0.096, 0.500, 0.963) x4
Pb (0.141, 0.000, 0.688) x4
Pb (0.183, 0.500, 0.408) x4

No. 6
Hg7BiPb3 after structural relaxation, computed with PBE.

Output
Density of states at the Fermi level = 7.98 states/eV/cell
DFT total energy = -1.518 eV/atom
V = 638.6 Å³ per cell

Unit cell a=3.463 b=6.842 c=27.268 alpha=93.28 beta=93.62 gamma=97.11
Space group P-1 (No. 2)
One atom of each set of equivalent atoms:
Hg (0.047, 0.374, 0.044) x2
Hg (0.052, 0.065, 0.585) x2
Hg (0.084, 0.313, 0.685) x2
Hg (0.227, 0.108, 0.126) x2
Hg (0.328, 0.828, 0.671) x2
Hg (0.366, 0.490, 0.400) x2
Hg (0.425, 0.140, 0.957) x2
Bi (0.249, 0.392, 0.856) x2
Pb (0.179, 0.380, 0.230) x2
Pb (0.283, 0.728, 0.509) x2
Pb (0.395, 0.899, 0.226) x2

No. 7
Hg2Bi4Pb3 after structural relaxation, computed with PBE.

Output
Density of states at the Fermi level = 8.56 states/eV/cell
DFT total energy = -2.975 eV/atom
V = 553.9 Å³ per cell

Unit cell a=15.929 b=3.462 c=10.330 alpha=90.00 beta=103.55 gamma=90.00
Space group C2/m (No. 12)
One atom of each set of equivalent atoms:
Hg (0.171, 0.000, 0.232) x4
Bi (0.004, 0.500, 0.333) x4
Bi (0.165, 0.000, 0.905) x4
Pb (0.000, 0.500, 0.000) x2
Pb (0.165, 0.000, 0.567) x4

No. 8
Hg5Bi2Pb after structural relaxation, computed with PBE.

Output
Density of states at the Fermi level = 8.13 states/eV/cell
DFT total energy = -1.552 eV/atom
V = 455.4 Å³ per cell

Unit cell a=4.486 b=4.486 c=22.629 alpha=90.00 beta=90.00 gamma=90.00
Space group I4/mmm (No. 139)
One atom of each set of equivalent atoms:
Hg (0.000, 0.000, 0.000) x2
Hg (0.000, 0.500, 0.119) x8
Bi (0.000, 0.000, 0.229) x4
Pb (0.000, 0.000, 0.500) x2

No. 9
HgBi2Pb after structural relaxation, computed with PBE.

Output
Density of states at the Fermi level = 2.50 states/eV/cell
Relative energy among the computed polymorphs = 0.0244 eV per atom
DFT total energy = -2.865 eV/atom
V = 120.8 Å³ per cell

Unit cell a=3.694 b=4.336 c=7.545 alpha=90.00 beta=90.00 gamma=90.00
Space group Pmm2 (No. 25)
One atom of each set of equivalent atoms:
Hg (0.000, 0.000, 0.000) x1
Bi (0.000, 0.000, 0.495) x1
Bi (0.500, 0.500, 0.245) x1
Pb (0.500, 0.500, 0.764) x1

No. 10
Hg3Bi2Pb3 after structural relaxation, computed with PBE.

Output
Density of states at the Fermi level = 7.25 states/eV/cell
Relative energy among the computed polymorphs = 0.0000 eV per atom
DFT total energy = -2.442 eV/atom
V = 472.8 Å³ per cell

Unit cell a=4.488 b=5.145 c=20.477 alpha=90.00 beta=90.00 gamma=90.00
Space group Immm (No. 71)
One atom of each set of equivalent atoms:
Hg (0.000, 0.000, 0.000) x2
Hg (0.000, 0.500, 0.119) x4
Bi (0.000, 0.000, 0.253) x4
Pb (0.000, 0.000, 0.500) x2
Pb (0.000, 0.500, 0.372) x4

No. 11
Hg3BiPb8 after structural relaxation, computed with PBE.

Output
Density of states at the Fermi level = 9.29 states/eV/cell
DFT total energy = -2.789 eV/atom
V = 809.1 Å³ per cell

Unit cell a=10.519 b=10.269 c=9.029 alpha=90.00 beta=123.95 gamma=90.00
Space group C2/m (No. 12)
One atom of each set of equivalent atoms:
Hg (0.000, 0.000, 0.000) x2
Hg (0.000, 0.250, 0.500) x4
Bi (0.000, 0.500, 0.000) x2
Pb (0.115, 0.000, 0.743) x4
Pb (0.132, 0.500, 0.743) x4
Pb (0.133, 0.242, 0.262) x8

No. 12
HgBi2PdPb after structural relaxation, computed with PBE.

Output
Density of states at the Fermi level = 5.93 states/eV/cell
DFT total energy = -3.416 eV/atom
V = 279.8 Å³ per cell

Unit cell a=4.154 b=4.154 c=16.215 alpha=90.00 beta=90.00 gamma=90.00
Space group P4/nmm (No. 129, origin choice 2)
One atom of each set of equivalent atoms:
Hg (0.250, 0.750, 0.000) x2
Bi (0.250, 0.250, 0.264) x2
Bi (0.250, 0.250, 0.606) x2
Pd (0.250, 0.250, 0.436) x2
Pb (0.250, 0.250, 0.826) x2